# GGA-PBE TePd3Pb2, relaxed
# Magnetic moment in μB/atom: 0.000
# Formation energy from raw total energies in eV per atom: -0.2220
data_TePd3Pb2
_space_group_name_H-M_alt 'P 1'
_space_group_IT_number 1
_cell_length_a 5.884
_cell_length_b 5.884
_cell_length_c 9.219
_cell_angle_alpha 90.00
_cell_angle_beta 90.00
_cell_angle_gamma 60.00
loop_
_space_group_symop_operation_xyz
'x,y,z'
loop_
_atom_site_label
_atom_site_fract_x
_atom_site_fract_y
_atom_site_fract_z
Te1 0.001 0.999 0.750
Te2 0.999 0.001 0.250
Pd1 0.000 0.453 0.750
Pd2 0.000 0.547 0.250
Pd3 0.453 0.000 0.250
Pd4 0.454 0.546 0.750
Pd5 0.546 0.454 0.250
Pd6 0.547 0.000 0.750
Pb1 0.333 0.333 0.000
Pb2 0.333 0.333 0.500
Pb3 0.667 0.667 0.000
Pb4 0.667 0.667 0.500